The following is a DFT calculation (PBE) of a relaxed Y3Hg crystal.

symmetry: No. 123
DFT formation energy: -2.62 kcal/mol of atoms
E: -5.037 eV per atom

a b c (Å): 3.968 5.362 5.363
angles (deg): 90.00 90.00 90.00
Fractional coordinates of all 4 atoms:
Hg (0.000, 0.000, 0.917)
Y (0.000, 0.500, 0.417)
Y (0.500, 0.000, 0.417)
Y (0.500, 0.500, 0.917)

The following is a DFT calculation (PBE) of a relaxed PuBeCl4 crystal.

symmetry: No. 82
E: -5.718 eV per atom

a b c (Å): 6.400 6.400 6.400
angles (deg): 119.84 119.84 90.29
Each line ends with the local moment (μB).
Fractional coordinates of all 6 atoms:
Pu (0.750, 0.250, 0.500)  5.82
Be (0.500, 0.500, 0.000)  0.01
Cl (0.409, 0.453, 0.622)  -0.02
Cl (0.831, 0.787, 0.378)  -0.02
Cl (0.213, 0.591, 0.044)  -0.02
Cl (0.547, 0.169, 0.956)  -0.02

The following is a DFT calculation (PBE) of a relaxed Tb6Pr12Sc crystal.

symmetry: No. 148
DFT formation energy: 3.01 kcal/mol of atoms
E: -4.684 eV per atom

a b c (Å): 8.721 8.721 8.721
angles (deg): 89.15 89.15 89.15
Fractional coordinates of all 19 atoms:
Tb (0.741, 0.902, 0.290)
Tb (0.710, 0.259, 0.098)
Tb (0.098, 0.710, 0.259)
Tb (0.259, 0.098, 0.710)
Tb (0.290, 0.741, 0.902)
Tb (0.902, 0.290, 0.741)
Pr (0.784, 0.535, 0.436)
Pr (0.436, 0.784, 0.535)
Pr (0.535, 0.436, 0.784)
Pr (0.216, 0.465, 0.564)
Pr (0.564, 0.216, 0.465)
Pr (0.465, 0.564, 0.216)
Pr (0.019, 0.187, 0.361)
Pr (0.813, 0.639, 0.981)
Pr (0.639, 0.981, 0.813)
Pr (0.981, 0.813, 0.639)
Pr (0.187, 0.361, 0.019)
Pr (0.361, 0.019, 0.187)
Sc (0.000, 0.000, 0.000)

- What is the E in the first record?
  -5.037 eV per atom